The following is a PBE-GGA calculation of a relaxed Li2BeRu crystal, from Alexandria via LeMat-Bulk.

abc: 3.299 3.299 4.205
angles: 90.00 90.00 90.00
Element x y z (fractional)
Li  0.500  0.500  0.000
Be  0.000  0.500  0.500
Li  0.000  0.000  0.000
Ru  0.500  0.000  0.500

Properties
The total magnetic moment comes out at 0.00 μB/cell. The calculated formation energy comes out at -0.40 kcal/mol of atoms. As for the space group: No. 123. As for the calculated volume: 46 Å³/f.u.

The following is a PBE-GGA calculation of a relaxed Zr2MnCl crystal, from Alexandria via LeMat-Bulk.

abc: 3.124 3.205 7.720
angles: 90.01 90.00 90.00
Element x y z (fractional)
Cl  0.500  0.250  0.250
Mn  0.500  0.750  0.750
Zr  0.000  0.249  0.953
Zr  0.000  0.251  0.547

Properties
As for the energy above the most stable polymorph in this dataset: 0 meV/atom. The total magnetic moment comes out at 0.00 μB/cell. The formation energy from raw total energies comes out at -0.510 eV per atom. As for the space group: No. 47. As for the calculated volume: 77 Å³/f.u.

The following is a PBE-GGA calculation of a relaxed Ce3Ge3Ir4 crystal, from Alexandria via LeMat-Bulk.

abc: 8.053 8.053 8.053
angles: 109.47 109.47 109.47
Element x y z (fractional)
Ce  0.875  0.250  0.625
Ge  0.250  0.375  0.625
Ir  0.651  0.151  0.151
Ge  0.125  0.750  0.375
Ir  0.151  0.651  0.651
Ir  0.000  0.000  0.849
Ge  0.750  0.125  0.875
Ge  0.375  0.250  0.125
Ir  0.500  0.849  0.500
Ge  0.875  0.625  0.750
Ir  0.000  0.000  0.349
Ce  0.250  0.875  0.125
Ce  0.750  0.625  0.375
Ce  0.375  0.125  0.750
Ir  0.500  0.349  0.500
Ir  0.849  0.500  0.000
Ir  0.349  0.500  0.000
Ce  0.125  0.375  0.250
Ce  0.625  0.750  0.875
Ge  0.625  0.875  0.250

Properties
The total magnetic moment comes out at 2.45 μB/cell. The calculated formation energy comes out at -11.46 kcal/mol of atoms. As for the space group: No. 220. As for the calculated volume: 201 Å³/f.u.

The following is a PBE-GGA calculation of a relaxed Pm3Pr2Bi2 crystal, from Alexandria via LeMat-Bulk.

abc: 4.437 6.662 8.974
angles: 107.16 90.00 109.45
Element x y z (fractional)
Pm  0.500  0.000  0.000
Pr  0.869  0.737  0.210
Pr  0.131  0.263  0.790
Pm  0.373  0.747  0.550
Pm  0.627  0.253  0.450
Bi  0.172  0.343  0.198
Bi  0.828  0.657  0.802

Properties
The total magnetic moment comes out at 0.00 μB/cell. The calculated formation energy comes out at -11.52 kcal/mol of atoms. As for the space group: No. 12. As for the calculated volume: 238 Å³/f.u.

The following is a PBE-GGA calculation of a relaxed PaCu2Ru crystal, from Alexandria via LeMat-Bulk.

abc: 4.532 4.532 4.528
angles: 59.97 59.97 60.00
Element x y z (fractional)
Pa  0.500  0.500  0.500
Cu  0.250  0.250  0.251
Ru  0.000  0.000  0.000
Cu  0.750  0.750  0.749

Properties
The total magnetic moment comes out at 0.00 μB/cell. The calculated formation energy comes out at 2.45 kcal/mol of atoms. As for the space group: No. 225. As for the calculated volume: 66 Å³/f.u.

The following is a PBE-GGA calculation of a relaxed Pm2Y3ThS6 crystal, from Alexandria via LeMat-Bulk.

abc: 3.962 7.993 8.922
angles: 103.83 102.83 90.00
Element x y z (fractional)
S  0.335  0.410  0.669
S  0.670  0.077  0.340
S  0.665  0.590  0.331
S  0.330  0.923  0.660
S  0.997  0.258  0.994
S  0.003  0.742  0.006
Y  0.834  0.166  0.668
Y  0.500  0.500  0.000
Pm  0.835  0.670  0.670
Pm  0.165  0.330  0.330
Th  0.500  0.000  0.000
Y  0.166  0.834  0.332

Properties
The total magnetic moment comes out at 0.00 μB/cell. The formation energy from raw total energies comes out at -1.976 eV per atom. As for the space group: No. 12. As for the calculated volume: 267 Å³/f.u.

The following is a PBE-GGA calculation of a relaxed Li2TlBr crystal, from Alexandria via LeMat-Bulk.

abc: 5.591 5.591 5.591
angles: 131.30 131.30 71.34
Element x y z (fractional)
Li  0.500  0.500  0.000
Tl  0.250  0.750  0.500
Br  0.750  0.250  0.500
Li  0.000  0.000  0.000

Properties
As for the energy above the most stable polymorph in this dataset: 313 meV/atom. The total magnetic moment comes out at 0.00 μB/cell. The formation energy from raw total energies comes out at -0.413 eV per atom. As for the space group: No. 139. As for the calculated volume: 97 Å³/f.u.

The following is a PBE-GGA calculation of a relaxed MgCr crystal, from Alexandria via LeMat-Bulk.

abc: 11.467 2.819 6.704
angles: 90.00 90.00 90.00
Element x y z (fractional)
Mg  0.000  0.511  0.059
Mg  0.781  0.401  0.731
Cr  0.090  0.080  0.410
Cr  0.500  0.200  0.163
Cr  0.410  0.920  0.910
Mg  0.719  0.599  0.231
Mg  0.500  0.489  0.559
Mg  0.219  0.401  0.731
Cr  0.910  0.080  0.410
Cr  0.590  0.920  0.910
Mg  0.281  0.599  0.231
Cr  0.000  0.800  0.663

Properties
As for the energy above the most stable polymorph in this dataset: 288 meV/atom. The total magnetic moment comes out at 0.00 μB/cell. The calculated formation energy comes out at 12.29 kcal/mol of atoms. As for the space group: No. 31. As for the calculated volume: 36 Å³/f.u.

Q: What is the formula in the fourth record?
A: Pm3Pr2Bi2

Q: The highest calculated volume belongs to which entry?
A: Pm2Y3ThS6

Q: Number 3 is which compound?
A: Ce3Ge3Ir4